Here is a geometry-optimized Li4HoPd5 structure from Alexandria via LeMat-Bulk. Energies are from PBE.

Lattice parameters (Å, degrees): 3.1722 3.1722 15.1492 90.00 90.00 90.00
Space group P4/mmm (No. 123)
Asymmetric unit:
1 Li 0.0000 0.0000 0.0927 [2 per cell]
2 Li 0.0000 0.0000 0.2774 [2 per cell]
3 Ho 0.0000 0.0000 0.5000 [1 per cell]
4 Pd 0.5000 0.5000 0.0000 [1 per cell]
5 Pd 0.5000 0.5000 0.1876 [2 per cell]
6 Pd 0.5000 0.5000 0.3779 [2 per cell]

- formation energy (eV/atom) = -0.508
- N(E_F) (states/eV/cell) = 2.85